Compound: Y3CrGe
Source: the Alexandria database
Functional: PBEsol
Structure: optimized geometry

The structure in CIF format:
```
data_Y3CrGe
_space_group_name_H-M_alt 'P m -3 m'
_space_group_IT_number 221
_space_group_name_Hall '-P 4 2 3'
_cell_length_a 5.367
_cell_length_b 5.367
_cell_length_c 5.367
_cell_angle_alpha 90.00
_cell_angle_beta 90.00
_cell_angle_gamma 90.00
loop_
_atom_site_label
_atom_site_type_symbol
_atom_site_fract_x
_atom_site_fract_y
_atom_site_fract_z
Y1 Y 0.000 0.000 0.500
Cr1 Cr 0.500 0.500 0.500
Ge1 Ge 0.000 0.000 0.000
```

Values from the calculation:
* ΔH_f (0 K): 0.347 eV per atom
* raw total energy: -33.9 eV per cell
* N(E_F): 7.27 states/eV/cell